Record 1
# Mg30VCoO32, single point on PBEsol structure, DFT meta-GGA SCAN
data_Mg30VCoO32
_cell_length_a 8.436
_cell_length_b 8.436
_cell_length_c 8.437
_cell_angle_alpha 90.00
_cell_angle_beta 90.00
_cell_angle_gamma 90.00
_space_group_name_H-M_alt 'P 1'
_space_group_IT_number 1
loop_
_space_group_symop_operation_xyz
'x,y,z'
loop_
_atom_site_label
_atom_site_type_symbol
_atom_site_fract_x
_atom_site_fract_y
_atom_site_fract_z
_atom_site_occupancy
Mg1 Mg 0.000 0.000 0.000 1
Mg2 Mg 0.000 0.000 0.500 1
Mg3 Mg 0.000 0.250 0.249 1
Mg4 Mg 0.000 0.250 0.751 1
Mg5 Mg 0.000 0.500 0.000 1
Mg6 Mg 0.000 0.500 0.500 1
Mg7 Mg 0.000 0.750 0.249 1
Mg8 Mg 0.000 0.750 0.751 1
Mg9 Mg 0.250 0.000 0.249 1
Mg10 Mg 0.250 0.000 0.751 1
Mg11 Mg 0.250 0.250 0.500 1
Mg12 Mg 0.250 0.750 0.500 1
Mg13 Mg 0.251 0.251 0.000 1
Mg14 Mg 0.251 0.500 0.247 1
Mg15 Mg 0.251 0.500 0.753 1
Mg16 Mg 0.251 0.749 0.000 1
Mg17 Mg 0.500 0.000 0.000 1
Mg18 Mg 0.500 0.000 0.500 1
Mg19 Mg 0.500 0.251 0.247 1
Mg20 Mg 0.500 0.251 0.753 1
Mg21 Mg 0.500 0.749 0.247 1
Mg22 Mg 0.500 0.749 0.753 1
Mg23 Mg 0.749 0.251 0.000 1
Mg24 Mg 0.749 0.500 0.247 1
Mg25 Mg 0.749 0.500 0.753 1
Mg26 Mg 0.749 0.749 0.000 1
Mg27 Mg 0.750 0.000 0.249 1
Mg28 Mg 0.750 0.000 0.751 1
Mg29 Mg 0.750 0.250 0.500 1
Mg30 Mg 0.750 0.750 0.500 1
V1 V 0.500 0.500 0.500 1
Co1 Co 0.500 0.500 0.000 1
O1 O 0.000 0.000 0.251 1
O2 O 0.000 0.000 0.749 1
O3 O 0.000 0.250 0.000 1
O4 O 0.000 0.250 0.500 1
O5 O 0.000 0.500 0.251 1
O6 O 0.000 0.500 0.749 1
O7 O 0.000 0.750 0.000 1
O8 O 0.000 0.750 0.500 1
O9 O 0.245 0.500 0.000 1
O10 O 0.250 0.000 0.000 1
O11 O 0.250 0.000 0.500 1
O12 O 0.251 0.251 0.250 1
O13 O 0.251 0.251 0.750 1
O14 O 0.251 0.500 0.500 1
O15 O 0.251 0.749 0.250 1
O16 O 0.251 0.749 0.750 1
O17 O 0.500 0.000 0.251 1
O18 O 0.500 0.000 0.749 1
O19 O 0.500 0.245 0.000 1
O20 O 0.500 0.251 0.500 1
O21 O 0.500 0.500 0.260 1
O22 O 0.500 0.500 0.740 1
O23 O 0.500 0.749 0.500 1
O24 O 0.500 0.755 0.000 1
O25 O 0.749 0.251 0.250 1
O26 O 0.749 0.251 0.750 1
O27 O 0.749 0.500 0.500 1
O28 O 0.749 0.749 0.250 1
O29 O 0.749 0.749 0.750 1
O30 O 0.750 0.000 0.000 1
O31 O 0.750 0.000 0.500 1
O32 O 0.755 0.500 0.000 1
# - space group = P4/mmm, No. 123
# - crystal system = tetragonal
# - formation energy (no corrections) (kJ/mol of formula units) = -18080



Record 2
# YMg30CoO32, single point on PBEsol structure, DFT meta-GGA SCAN
data_YMg30CoO32
_cell_length_a 8.500
_cell_length_b 8.500
_cell_length_c 8.493
_cell_angle_alpha 90.00
_cell_angle_beta 90.00
_cell_angle_gamma 90.00
_space_group_name_H-M_alt 'P 1'
_space_group_IT_number 1
loop_
_space_group_symop_operation_xyz
'x,y,z'
loop_
_atom_site_label
_atom_site_type_symbol
_atom_site_fract_x
_atom_site_fract_y
_atom_site_fract_z
_atom_site_occupancy
Y1 Y 0.000 0.000 0.000 1
Mg1 Mg 0.000 0.000 0.500 1
Mg2 Mg 0.000 0.257 0.255 1
Mg3 Mg 0.000 0.257 0.745 1
Mg4 Mg 0.000 0.500 0.000 1
Mg5 Mg 0.000 0.500 0.500 1
Mg6 Mg 0.000 0.743 0.255 1
Mg7 Mg 0.000 0.743 0.745 1
Mg8 Mg 0.252 0.252 0.500 1
Mg9 Mg 0.252 0.748 0.500 1
Mg10 Mg 0.254 0.500 0.248 1
Mg11 Mg 0.254 0.500 0.752 1
Mg12 Mg 0.257 0.000 0.255 1
Mg13 Mg 0.257 0.000 0.745 1
Mg14 Mg 0.260 0.260 0.000 1
Mg15 Mg 0.260 0.740 0.000 1
Mg16 Mg 0.500 0.000 0.000 1
Mg17 Mg 0.500 0.000 0.500 1
Mg18 Mg 0.500 0.254 0.248 1
Mg19 Mg 0.500 0.254 0.752 1
Mg20 Mg 0.500 0.500 0.500 1
Mg21 Mg 0.500 0.746 0.248 1
Mg22 Mg 0.500 0.746 0.752 1
Mg23 Mg 0.740 0.260 0.000 1
Mg24 Mg 0.740 0.740 0.000 1
Mg25 Mg 0.743 0.000 0.255 1
Mg26 Mg 0.743 0.000 0.745 1
Mg27 Mg 0.746 0.500 0.248 1
Mg28 Mg 0.746 0.500 0.752 1
Mg29 Mg 0.748 0.252 0.500 1
Mg30 Mg 0.748 0.748 0.500 1
Co1 Co 0.500 0.500 0.000 1
O1 O 0.000 0.000 0.259 1
O2 O 0.000 0.000 0.741 1
O3 O 0.000 0.250 0.500 1
O4 O 0.000 0.258 0.000 1
O5 O 0.000 0.500 0.253 1
O6 O 0.000 0.500 0.747 1
O7 O 0.000 0.742 0.000 1
O8 O 0.000 0.750 0.500 1
O9 O 0.240 0.500 0.000 1
O10 O 0.249 0.249 0.249 1
O11 O 0.249 0.249 0.751 1
O12 O 0.249 0.500 0.500 1
O13 O 0.249 0.751 0.249 1
O14 O 0.249 0.751 0.751 1
O15 O 0.250 0.000 0.500 1
O16 O 0.258 0.000 0.000 1
O17 O 0.500 0.000 0.253 1
O18 O 0.500 0.000 0.747 1
O19 O 0.500 0.240 0.000 1
O20 O 0.500 0.249 0.500 1
O21 O 0.500 0.500 0.261 1
O22 O 0.500 0.500 0.739 1
O23 O 0.500 0.751 0.500 1
O24 O 0.500 0.760 0.000 1
O25 O 0.742 0.000 0.000 1
O26 O 0.750 0.000 0.500 1
O27 O 0.751 0.249 0.249 1
O28 O 0.751 0.249 0.751 1
O29 O 0.751 0.500 0.500 1
O30 O 0.751 0.751 0.249 1
O31 O 0.751 0.751 0.751 1
O32 O 0.760 0.500 0.000 1
# - space group = P4/mmm, No. 123
# - crystal system = tetragonal
# - formation energy (no corrections) (kJ/mol of formula units) = -18197